Record 1
PBE Rb2AlSI6, optimized geometry; total DFT energy (no corrections) = -2.55 eV/atom; formation energy from raw total energies = -635 meV/atom; size of the total moment = 0.00 μB per cell; Fermi-level density of states = 8.0 states/eV/cell; calculated volume = 405.3 Å³/cell
1.0
-4.535 -2.529 -6.134
3.512 -7.219 0.380
-4.906 -6.800 1.166
I S Al Rb
6 1 1 2
Direct
0.281 0.281 0.438
0.719 0.719 0.562
0.247 0.247 0.000
0.753 0.753 0.000
0.753 0.247 0.000
0.247 0.753 0.000
0.000 0.000 0.000
0.500 0.500 0.000
0.750 0.250 0.500
0.250 0.750 0.500

***

Record 2
PBE KHgAuO2, optimized geometry; total DFT energy (no corrections) = -3.44 eV/atom; formation energy from raw total energies = -525 meV/atom; size of the total moment = 0.00 μB per cell; calculated volume = 215.9 Å³/cell
1.0
-2.693 -1.600 -3.812
-2.366 -5.285 3.890
-3.625 6.196 -0.040
K Hg Au O
2 2 2 4
Direct
0.275 0.750 0.500
0.725 0.250 0.500
0.500 0.750 0.000
0.500 0.250 0.000
0.000 0.000 0.000
0.000 0.500 0.000
0.685 0.893 0.786
0.685 0.607 0.214
0.315 0.393 0.786
0.315 0.107 0.214